Record 1
Material: AcBi2
Method: DFT, GGA-PBE
State: optimized geometry

Structure (POSCAR):
```
AcBi2
1.0
3.399 -3.348 0.000
3.399 3.348 0.000
0.000 0.000 19.126
Ac Bi
4 8
Direct
0.135 0.865 0.893
0.365 0.635 0.393
0.635 0.365 0.607
0.865 0.135 0.107
0.119 0.381 0.750
0.131 0.869 0.567
0.369 0.631 0.067
0.381 0.119 0.250
0.619 0.881 0.750
0.631 0.369 0.933
0.869 0.131 0.433
0.881 0.619 0.250
```

Computed properties:
Offset from the most stable computed form in eV per formula unit: 0.03
Density of states at the Fermi level in states/eV/f.u.: 2.013
DFT formation energy in eV/f.u.: -2.02
E_tot in eV/atom: -4.63
SG: Cmce



Record 2
Material: AcBi2
Method: DFT, GGA-PBE
State: optimized geometry

Structure (POSCAR):
```
AcBi2
1.0
3.236 -3.236 0.000
3.236 3.236 0.000
-2.610 0.000 5.312
Ac Bi
1 2
Direct
0.000 0.000 0.000
0.390 0.390 0.705
0.610 0.610 0.295
```

Computed properties:
Offset from the most stable computed form in eV per formula unit: 0.47
Density of states at the Fermi level in states/eV/f.u.: 2.310
DFT formation energy in eV/f.u.: -1.58
E_tot in eV/atom: -4.48
SG: C2/m



Record 3
Material: Ac2Bi5
Method: DFT, GGA-PBE
State: optimized geometry

Structure (POSCAR):
```
Ac2Bi5
1.0
2.376 -20.715 0.000
2.376 20.715 0.000
0.000 0.000 5.052
Ac Bi
4 10
Direct
0.097 0.903 0.750
0.316 0.684 0.750
0.684 0.316 0.250
0.903 0.097 0.250
0.037 0.963 0.250
0.178 0.822 0.750
0.251 0.749 0.250
0.401 0.599 0.750
0.474 0.526 0.250
0.526 0.474 0.750
0.599 0.401 0.250
0.749 0.251 0.750
0.822 0.178 0.250
0.963 0.037 0.750
```

Computed properties:
Density of states at the Fermi level in states/eV/f.u.: 3.475
DFT formation energy in eV/f.u.: -3.50
E_tot in eV/atom: -4.45
SG: Cmcm



Record 4
Material: Ac3Bi5
Method: DFT, GGA-PBE
State: optimized geometry

Structure (POSCAR):
```
Ac3Bi5
1.0
4.140 -5.617 0.000
4.140 5.617 0.000
0.000 0.000 6.144
Ac Bi
3 5
Direct
0.000 0.000 0.000
0.288 0.712 0.500
0.712 0.288 0.500
0.000 0.500 0.000
0.196 0.196 0.500
0.500 0.000 0.000
0.500 0.500 0.000
0.804 0.804 0.500
```

Computed properties:
Density of states at the Fermi level in states/eV/f.u.: 6.166
DFT formation energy in eV/f.u.: -5.14
E_tot in eV/atom: -4.61
SG: Cmmm